Here is a relaxed structure of Sr4Hg2Au5 from Alexandria. Energies are from PBE-GGA.

The structure belongs to space group P2/m (No. 10); the cell edges are 8.329, 4.216 and 8.879 Å and the angles 90.00°, 92.35° and 90.00°. The distinct sites, in fractional coordinates, are Sr at (0.220, 0.000, 0.354), Sr at (0.255, 0.000, 0.876), Hg at (0.406, 0.500, 0.627), Au at (0.000, 0.500, 0.000), Au at (0.066, 0.500, 0.652) and Au at (0.382, 0.500, 0.116).

Here is a relaxed structure of SrHgAu2 from Alexandria. Energies are from PBE-GGA.

The structure belongs to space group Cm (No. 8); the cell edges are 8.479, 4.868 and 5.726 Å and the angles 90.00°, 119.02° and 90.00°. The distinct sites, in fractional coordinates, are Sr at (0.000, 0.000, 0.000), Hg at (0.284, 0.500, 0.350), Au at (0.037, 0.500, 0.610) and Au at (0.220, 0.000, 0.659).

Here is a relaxed structure of Sr6HgAu5 from Alexandria. Energies are from PBE-GGA.

The structure belongs to space group Cmmm (No. 65); the cell edges are 5.467, 16.434 and 7.737 Å and the angles 90.00°, 90.00° and 90.00°. The distinct sites, in fractional coordinates, are Sr at (0.000, 0.000, 0.243), Sr at (0.000, 0.331, 0.249), Hg at (0.000, 0.500, 0.500), Au at (0.000, 0.162, 0.500), Au at (0.000, 0.167, 0.000) and Au at (0.000, 0.500, 0.000).

Here is a relaxed structure of Sr2Hg5Au3 from Alexandria. Energies are from PBE-GGA.

The structure belongs to space group Ibam (No. 72); the cell edges are 12.564, 13.430 and 6.203 Å and the angles 90.00°, 90.00° and 90.00°. The distinct sites, in fractional coordinates, are Sr at (0.130, 0.236, 0.000), Hg at (0.000, 0.000, 0.250), Hg at (0.109, 0.352, 0.500), Hg at (0.244, 0.500, 0.250), Au at (0.000, 0.500, 0.250) and Au at (0.130, 0.146, 0.500).

As for the energy above the lowest structure with this stoichiometry: 54 meV per atom.

no.,raw total energy (eV per atom),Fermi-level density of states (states/eV/atom),energy of formation (eV/atom)
1,-2.785,0.24,-0.629
2,-2.629,0.27,-0.494
3,-2.920,0.78,-0.689
4,-1.833,0.47,-0.362